No. 1
DFT (PBE-GGA) results for crystalline LiCe2Ni4Sb3 at its relaxed geometry.

Output
space group	P-4m2, No. 115
formation energy without anion corrections	-5.96	eV/f.u.

Lattice parameters (Å, degrees): 4.3173 4.3173 10.1570 90.00 90.00 90.00
With the nearest neighbours (Å) after each atom.
Fractional positions:
Li 0.0000 0.0000 0.0000  4 Ni 2.51
Ce 0.0000 0.5000 0.7429  6 Sb 3.26-3.39, 8 Ni 3.28-3.33, 2 Li 3.39
Ce 0.5000 0.0000 0.2571  6 Sb 3.26-3.39, 8 Ni 3.28-3.33, 2 Li 3.39
Ni 0.0000 0.0000 0.5000  4 Sb 2.54
Ni 0.0000 0.5000 0.1263  3 Sb 2.46-2.51, 2 Li 2.51
Ni 0.5000 0.0000 0.8737  3 Sb 2.46-2.51, 2 Li 2.51
Ni 0.5000 0.5000 0.5000  4 Sb 2.54
Sb 0.0000 0.5000 0.3683  5 Ni 2.46-2.54
Sb 0.5000 0.0000 0.6317  5 Ni 2.46-2.54
Sb 0.5000 0.5000 0.0000  4 Ni 2.51

No. 2
DFT (PBE-GGA) results for crystalline LiVAs at its relaxed geometry.

Output
excess energy over the best structure of this formula in the dataset	165.5	kJ/mol of formula units
space group	P-6m2, No. 187
formation energy from the elements	-4.9	meV/atom

Lattice parameters (Å, degrees): 4.3262 4.3262 2.8014 90.00 90.00 120.00
With the nearest neighbours (Å) after each atom.
Fractional positions:
Li 0.0000 0.0000 0.0000  2 Li 2.80, 6 As 2.86, 6 V 2.86
V 0.3333 0.6667 0.5000  3 As 2.50
As 0.6667 0.3333 0.5000  3 V 2.50

No. 3
DFT (PBE-GGA) results for crystalline Pm12DyY7 at its relaxed geometry.

Output
excess energy over the best structure of this formula in the dataset	110.9	kJ/mol of formula units
space group	R-3, No. 148
formation energy from the elements	288.6	meV/atom

Lattice parameters (Å, degrees): 11.1126 11.1126 11.1126 115.95 115.95 115.95
With the nearest neighbours (Å) after each atom.
Fractional positions:
Pm 0.0699 0.2827 0.4935  4 Pm 3.26-3.50, 3 Y 3.49-3.63
Pm 0.2083 0.7486 0.2721  2 Y 3.23-3.34, 5 Pm 3.26-3.52
Pm 0.2514 0.7279 0.7917  2 Y 3.23-3.34, 5 Pm 3.26-3.52
Pm 0.2721 0.2083 0.7486  2 Y 3.23-3.34, 5 Pm 3.26-3.52
Pm 0.2827 0.4935 0.0699  4 Pm 3.26-3.50, 3 Y 3.49-3.63
Pm 0.4935 0.0699 0.2827  4 Pm 3.26-3.50, 3 Y 3.49-3.63
Pm 0.5065 0.9301 0.7173  4 Pm 3.26-3.50, 3 Y 3.49-3.63
Pm 0.7173 0.5065 0.9301  4 Pm 3.26-3.50, 3 Y 3.49-3.63
Pm 0.7279 0.7917 0.2514  2 Y 3.23-3.34, 5 Pm 3.26-3.52
Pm 0.7486 0.2721 0.2083  2 Y 3.23-3.34, 5 Pm 3.26-3.52
Pm 0.7917 0.2514 0.7279  2 Y 3.23-3.34, 5 Pm 3.26-3.52
Pm 0.9301 0.7173 0.5065  4 Pm 3.26-3.50, 3 Y 3.49-3.63
Dy 0.0000 0.0000 0.0000  8 Y 3.24-3.40
Y 0.0759 0.3789 0.2178  4 Pm 3.23-3.55, 1 Dy 3.24, 1 Y 3.42
Y 0.2178 0.0759 0.3789  4 Pm 3.23-3.55, 1 Dy 3.24, 1 Y 3.42
Y 0.3789 0.2178 0.0759  4 Pm 3.23-3.55, 1 Dy 3.24, 1 Y 3.42
Y 0.5000 0.5000 0.5000  2 Dy 3.40, 6 Y 3.42
Y 0.6211 0.7822 0.9241  4 Pm 3.23-3.55, 1 Dy 3.24, 1 Y 3.42
Y 0.7822 0.9241 0.6211  4 Pm 3.23-3.55, 1 Dy 3.24, 1 Y 3.42
Y 0.9241 0.6211 0.7822  4 Pm 3.23-3.55, 1 Dy 3.24, 1 Y 3.42

No. 4
DFT (PBE-GGA) results for crystalline TcTeOs2 at its relaxed geometry.

Output
excess energy over the best structure of this formula in the dataset	37.2	kJ/mol of formula units
space group	P2/m, No. 10
formation energy without anion corrections	2.67	eV/f.u.

Lattice parameters (Å, degrees): 2.9081 4.1704 5.5035 90.00 102.94 90.00
With the nearest neighbours (Å) after each atom.
Fractional positions:
Tc 0.0000 0.0000 0.0000  2 Te 2.75, 8 Os 2.83-2.86, 2 Tc 2.91
Te 0.0000 0.0000 0.5000  4 Os 2.64, 2 Tc 2.75, 2 Te 2.91
Os 0.3879 0.5000 0.7626  1 Os 2.55, 2 Te 2.64, 2 Tc 2.83
Os 0.6121 0.5000 0.2374  1 Os 2.55, 2 Te 2.64, 2 Tc 2.83

No. 5
DFT (PBE-GGA) results for crystalline TiNb2ZnC at its relaxed geometry.

Output
space group	P4/mmm, No. 123
formation energy from the elements	-257.3	meV/atom

Lattice parameters (Å, degrees): 4.3080 4.3080 4.1387 90.00 90.00 90.00
With the nearest neighbours (Å) after each atom.
Fractional positions:
Ti 0.0000 0.0000 0.0000  2 C 2.07
Nb 0.0000 0.5000 0.5000  2 C 2.15
Nb 0.5000 0.0000 0.5000  2 C 2.15
Zn 0.5000 0.5000 0.0000  8 Nb 2.99, 4 Ti 3.05
C 0.0000 0.0000 0.5000  2 Ti 2.07, 4 Nb 2.15

No. 6
DFT (PBE-GGA) results for crystalline SrCr2Se at its relaxed geometry.

Output
space group	F-43m, No. 216
formation energy without anion corrections	1.85	eV/f.u.

Lattice parameters (Å, degrees): 5.2085 5.2085 5.2085 60.00 60.00 60.00
With the nearest neighbours (Å) after each atom.
Fractional positions:
Sr 0.0000 0.0000 0.0000  4 Cr 3.19, 4 Se 3.19
Cr 0.5000 0.5000 0.5000  4 Cr 3.19, 4 Se 3.19
Cr 0.7500 0.7500 0.7500  4 Cr 3.19, 4 Sr 3.19
Se 0.2500 0.2500 0.2500  4 Cr 3.19, 4 Sr 3.19

Copy entry 5 word for word.
DFT (PBE-GGA) results for crystalline TiNb2ZnC at its relaxed geometry.

Output
space group	P4/mmm, No. 123
formation energy from the elements	-257.3	meV/atom

Lattice parameters (Å, degrees): 4.3080 4.3080 4.1387 90.00 90.00 90.00
With the nearest neighbours (Å) after each atom.
Fractional positions:
Ti 0.0000 0.0000 0.0000  2 C 2.07
Nb 0.0000 0.5000 0.5000  2 C 2.15
Nb 0.5000 0.0000 0.5000  2 C 2.15
Zn 0.5000 0.5000 0.0000  8 Nb 2.99, 4 Ti 3.05
C 0.0000 0.0000 0.5000  2 Ti 2.07, 4 Nb 2.15